1.
Density functional theory data (GGA-PBE) for LiCrAs2 after structural relaxation.

Results
The calculation puts the density of states at the Fermi level at 1.96 states/eV/f.u. As for the symmetry: No. 65. The total magnetization comes out at 3.6 μB/cell.

Cell and atoms, written as extended XYZ:
```
4
Lattice="4.6644 -0.1917 0.0000 -0.9121 4.5783 0.0000 0.0000 0.0000 3.0582" Properties=species:S:1:pos:R:3 pbc="T T T"
As 0.0000 0.0000 0.0000
As 1.8761 2.1933 0.0000
Cr 2.3322 -0.0958 1.5291
Li -0.4561 2.2892 1.5291
```

2.
Density functional theory data (GGA-PBE) for LiCrAs2 after structural relaxation.

Results
The calculation puts the density of states at the Fermi level at 1.63 states/eV/f.u. As for the symmetry: No. 8. The total magnetization comes out at 3.2 μB/cell.

Cell and atoms, written as extended XYZ:
```
4
Lattice="5.0091 -0.1138 0.1219 3.8065 3.2581 0.1219 1.0182 0.3632 3.9875" Properties=species:S:1:pos:R:3 pbc="T T T"
As 8.8529 3.1576 0.6559
As 7.4086 2.6424 2.6853
Cr 4.8815 1.7411 2.4787
Li 2.4233 0.8643 0.7709
```

3.
Density functional theory data (GGA-PBE) for LiCrAs2 after structural relaxation.

Results
The calculation puts the density of states at the Fermi level at 1.67 states/eV/f.u. As for the symmetry: No. 44. The total magnetization comes out at 1.9 μB/cell.

Cell and atoms, written as extended XYZ:
```
4
Lattice="-3.9529 1.8282 5.7320 0.1829 0.6503 7.1671 2.0997 0.9876 -6.8147" Properties=species:S:1:pos:R:3 pbc="T T T"
As -0.1493 0.0981 0.5107
As -0.0204 1.5826 4.1509
Cr -1.7261 1.1348 5.9060
Li -1.6596 1.8897 1.9664
```

4.
Density functional theory data (GGA-PBE) for LiCrAs2 after structural relaxation.

Results
The calculation puts the density of states at the Fermi level at 1.94 states/eV/f.u. As for the symmetry: No. 225. The total magnetization comes out at 2.7 μB/cell.

Cell and atoms, written as extended XYZ:
```
4
Lattice="0.0000 3.1474 3.1474 3.1474 0.0000 3.1474 3.1474 3.1474 0.0000" Properties=species:S:1:pos:R:3 pbc="T T T"
Cr 3.1474 3.1474 3.1474
As 1.5737 1.5737 1.5737
As 4.7211 4.7211 4.7211
Li 0.0000 0.0000 0.0000
```

Of them, 3 has the highest stability.

1.
Density functional theory data (GGA-PBE) for LiCrAs2 after structural relaxation.

Results
The calculation puts the density of states at the Fermi level at 2.25 states/eV/f.u. As for the symmetry: No. 160. The total magnetization comes out at 0.0 μB/cell.

Cell and atoms, written as extended XYZ:
```
4
Lattice="-1.7851 -0.9444 2.3947 0.4336 -2.8382 1.2529 4.5585 1.6615 6.1023" Properties=species:S:1:pos:R:3 pbc="T T T"
Li 1.5688 -1.0808 4.8411
Cr -0.8850 -2.5124 2.4473
As 3.4749 1.0293 5.0452
As 0.6518 -0.6178 2.2912
```

2.
Density functional theory data (GGA-PBE) for LiCrAs2 after structural relaxation.

Results
The calculation puts the density of states at the Fermi level at 2.07 states/eV/f.u. As for the symmetry: No. 122. The total magnetization comes out at 2.0 μB/cell.

Cell and atoms, written as extended XYZ:
```
8
Lattice="-3.8569 3.6515 -2.6839 -4.5317 -3.0988 2.2963 -4.1841 3.4348 4.0886" Properties=species:S:1:pos:R:3 pbc="T T T"
Cr 0.0000 0.0000 0.0000
Cr -6.1176 3.6813 0.6054
As -4.2175 2.9376 -0.5036
As -4.1660 -0.8057 2.2572
As -6.0553 2.9396 2.8053
As -10.7065 2.9034 2.8431
Li -4.1943 0.2763 -0.1938
Li -6.4550 0.3062 3.0955
```

Of them, 1 has the highest stability.

1.
Density functional theory data (GGA-PBE) for LiCrAs2 after structural relaxation.

Results
The calculation puts the density of states at the Fermi level at 2.07 states/eV/f.u. As for the symmetry: No. 166. The total magnetization comes out at 0.0 μB/cell.

Cell and atoms, written as extended XYZ:
```
4
Lattice="7.6955 -0.0092 -0.0055 7.0542 3.0756 -0.0055 7.0542 1.4665 2.7035" Properties=species:S:1:pos:R:3 pbc="T T T"
Cr 5.4510 1.1332 0.6731
As 21.5836 4.4871 2.6653
As 11.1223 2.3123 1.3735
Li 16.3530 3.3997 2.0194
```

2.
Density functional theory data (GGA-PBE) for LiCrAs2 after structural relaxation.

Results
The calculation puts the density of states at the Fermi level at 2.68 states/eV/f.u. As for the symmetry: No. 25. The total magnetization comes out at 3.6 μB/cell.

Cell and atoms, written as extended XYZ:
```
4
Lattice="-2.1098 -4.1701 0.5415 2.6166 -1.2472 0.5906 -0.5990 0.8974 4.5775" Properties=species:S:1:pos:R:3 pbc="T T T"
As -0.1977 0.6301 4.0818
As -0.9524 -1.9050 2.0567
Cr 1.4103 -0.4419 2.0921
Li 0.0574 -2.0804 4.6405
```

Of them, 1 has the highest stability.

1.
Density functional theory data (GGA-PBE) for LiCrAs2 after structural relaxation.

Results
The calculation puts the density of states at the Fermi level at 1.72 states/eV/f.u. As for the symmetry: No. 12. The total magnetization comes out at 2.1 μB/cell.

Cell and atoms, written as extended XYZ:
```
4
Lattice="4.0433 -0.0855 0.0320 2.8777 2.8416 0.0320 1.2525 0.4988 5.7524" Properties=species:S:1:pos:R:3 pbc="T T T"
As 1.3008 0.5180 5.5555
As 4.0384 1.6082 3.1051
Cr 6.1301 2.4412 4.3623
Li 2.0434 0.8137 1.4541
```

2.
Density functional theory data (GGA-PBE) for LiCrAs2 after structural relaxation.

Results
The calculation puts the density of states at the Fermi level at 2.62 states/eV/f.u. As for the symmetry: No. 10. The total magnetization comes out at 0.8 μB/cell.

Cell and atoms, written as extended XYZ:
```
4
Lattice="-0.4388 0.5007 2.9045 2.7685 -0.9888 0.5887 4.7662 5.6604 -0.2558" Properties=species:S:1:pos:R:3 pbc="T T T"
As 2.7747 -0.7138 0.5422
As 3.7611 2.0607 0.2129
Cr 1.6643 1.4182 1.5355
Li 5.4316 3.7540 1.7019
```

3.
Density functional theory data (GGA-PBE) for LiCrAs2 after structural relaxation.

Results
The calculation puts the density of states at the Fermi level at 3.03 states/eV/f.u. As for the symmetry: No. 216. The total magnetization comes out at 3.6 μB/cell.

Cell and atoms, written as extended XYZ:
```
4
Lattice="4.5629 0.0000 0.0000 2.2814 3.9516 0.0000 2.2814 1.3172 3.7256" Properties=species:S:1:pos:R:3 pbc="T T T"
As 0.0000 0.0000 0.0000
As 2.2814 1.3172 0.9314
Cr 4.5629 2.6344 1.8628
Li 6.8443 3.9516 2.7942
```

4.
Density functional theory data (GGA-PBE) for LiCrAs2 after structural relaxation.

Results
The calculation puts the density of states at the Fermi level at 2.26 states/eV/f.u. As for the symmetry: No. 99. The total magnetization comes out at 2.5 μB/cell.

Cell and atoms, written as extended XYZ:
```
4
Lattice="-2.6700 -2.2517 0.5351 0.5378 0.1909 3.4871 -3.2427 3.9130 0.2859" Properties=species:S:1:pos:R:3 pbc="T T T"
As -3.0548 3.6862 0.2693
As -2.0757 0.1878 2.1001
Cr -1.4604 1.7623 0.1288
Li -3.6482 2.0854 2.2387
```

Of them, 2 has the highest stability.

1.
Density functional theory data (GGA-PBE) for LiCr2As2 after structural relaxation.

Results
The calculation puts the density of states at the Fermi level at 3.04 states/eV/f.u. As for the symmetry: No. 127. The total magnetization comes out at 6.4 μB/cell.

Cell and atoms, written as extended XYZ:
```
10
Lattice="6.9218 0.0000 0.0000 0.0000 6.9218 0.0000 0.0000 0.0000 3.0347" Properties=species:S:1:pos:R:3 pbc="T T T"
Cr 0.9486 4.4096 1.5173
Cr 4.4096 5.9732 1.5173
Cr 5.9732 2.5123 1.5173
Cr 2.5123 0.9486 1.5173
As 2.3858 5.8467 0.0000
As 5.8467 4.5360 0.0000
As 4.5360 1.0751 0.0000
As 1.0751 2.3858 0.0000
Li 0.0000 0.0000 0.0000
Li 3.4609 3.4609 0.0000
```

2.
Density functional theory data (GGA-PBE) for LiCr2As2 after structural relaxation.

Results
The calculation puts the density of states at the Fermi level at 3.56 states/eV/f.u. As for the symmetry: No. 139. The total magnetization comes out at 0.0 μB/cell.

Cell and atoms, written as extended XYZ:
```
5
Lattice="-0.9259 0.0066 -4.4315 1.9749 -4.0521 -0.4186 -2.9721 -3.8022 -1.6971" Properties=species:S:1:pos:R:3 pbc="T T T"
Cr -0.2926 -2.4386 -2.2549
Cr -1.6305 -5.4091 -4.2923
As -1.6867 -2.9092 -4.2768
As -0.2363 -4.9385 -2.2704
Li 0.0000 0.0000 0.0000
```

Of them, 1 has the highest stability.

1.
Density functional theory data (GGA-PBE) for LiCr3As after structural relaxation.

Results
The calculation puts the density of states at the Fermi level at 3.91 states/eV/f.u. As for the symmetry: No. 221. The total magnetization comes out at 12.6 μB/cell.

Cell and atoms, written as extended XYZ:
```
5
Lattice="4.8562 0.0000 0.0000 0.0000 4.8562 0.0000 0.0000 0.0000 4.8562" Properties=species:S:1:pos:R:3 pbc="T T T"
Cr 0.0000 2.4281 0.0000
Cr 0.0000 0.0000 2.4281
Cr 2.4281 0.0000 0.0000
As 0.0000 0.0000 0.0000
Li 2.4281 2.4281 2.4281
```

2.
Density functional theory data (GGA-PBE) for LiCr3As after structural relaxation.

Results
The calculation puts the density of states at the Fermi level at 2.34 states/eV/f.u. As for the symmetry: No. 221. The total magnetization comes out at 7.9 μB/cell.

Cell and atoms, written as extended XYZ:
```
5
Lattice="4.1638 0.0000 0.0000 0.0000 4.1638 0.0000 0.0000 0.0000 4.1638" Properties=species:S:1:pos:R:3 pbc="T T T"
Cr 0.0000 2.0819 0.0000
Cr 0.0000 0.0000 2.0819
Cr 2.0819 0.0000 0.0000
As 2.0819 2.0819 2.0819
Li 0.0000 0.0000 0.0000
```

Of them, 1 has the highest stability.